# Rb2CoSiF6

Crystalline Rb2CoSiF6 at its relaxed geometry (PBE+U, Alexandria).

Cell and atoms, written as POSCAR:
```
Rb2CoSiF6
1.0
-0.100 3.958 4.594
-4.871 2.683 -2.418
-5.037 0.685 3.303
Si Rb F Co
1 2 6 1
Cartesian
-2.486 3.320 1.088
-6.197 3.344 0.986
-3.812 3.981 4.492
-3.734 2.031 2.172
-1.239 3.653 2.921
-3.785 5.056 1.657
-3.733 2.987 -0.745
-6.274 5.295 3.307
-1.186 1.585 0.519
0.000 0.000 0.000
```

Summary:
spin magnetization = 3.000 Bohr magnetons per cell
DOS at the Fermi energy = 0.000 states/eV per atom
symmetry = No. 139
V = 15.8 Å³/atom
E = -0.1717 hartree per atom

=====

# Rb2SmCoF6

Crystalline Rb2SmCoF6 at its relaxed geometry (PBE+U, Alexandria).

Cell and atoms, written as POSCAR:
```
Rb2SmCoF6
1.0
-3.631 -5.218 0.094
4.395 -3.002 3.471
-1.599 -2.669 5.547
Rb F Sm Co
2 6 1 1
Cartesian
1.586 -4.892 5.400
-2.421 -5.998 3.713
-3.220 -7.326 6.484
2.385 -3.563 2.629
-0.227 -7.497 5.452
-1.031 -8.830 8.215
-0.608 -3.392 3.661
0.196 -2.059 0.898
0.382 -4.110 1.783
0.000 0.000 0.000
```

Summary:
spin magnetization = 2.000 Bohr magnetons per cell
DOS at the Fermi energy = 0.180 states/eV per atom
symmetry = No. 2
V = 18.1 Å³/atom
E = -0.1906 hartree per atom

=====

# RbSr2CoF8

Crystalline RbSr2CoF8 at its relaxed geometry (PBE+U, Alexandria).

Cell and atoms, written as POSCAR:
```
RbSr2CoF8
1.0
-2.884 -3.591 -1.292
4.562 -2.832 -0.779
-0.085 -3.151 7.173
F Rb Sr Co
8 1 2 1
Cartesian
-0.323 -4.165 2.724
0.161 -1.943 -0.317
3.255 -5.701 5.027
1.915 -5.409 2.377
3.109 -2.931 0.664
1.431 -7.631 5.418
-1.517 -6.642 4.438
-1.663 -3.873 0.074
-0.043 -1.575 3.587
0.757 -5.364 4.491
0.835 -4.209 0.610
0.000 0.000 0.000
```

Summary:
spin magnetization = 4.001 Bohr magnetons per cell
symmetry = No. 2
V = 16.8 Å³/atom
E = -0.1863 hartree per atom

=====

# RbSr2CoF

Crystalline RbSr2CoF at its relaxed geometry (PBE+U, Alexandria).

Cell and atoms, written as POSCAR:
```
RbSr2CoF
1.0
5.239 0.000 0.000
0.000 6.720 0.000
0.000 0.000 5.239
Sr Rb Co F
2 1 1 1
Cartesian
2.619 0.000 0.000
0.000 0.000 2.619
2.619 3.360 2.619
0.000 3.360 0.000
0.000 0.000 0.000
```

Summary:
spin magnetization = 2.055 Bohr magnetons per cell
DOS at the Fermi energy = 0.831 states/eV per atom
symmetry = No. 123
V = 36.9 Å³/atom
E = -0.1023 hartree per atom

=====

# RbTbCoF6

Crystalline RbTbCoF6 at its relaxed geometry (PBE+U, Alexandria).

Cell and atoms, written as POSCAR:
```
RbTbCoF6
1.0
-7.341 -2.122 -0.283
1.710 -5.273 -4.808
3.620 0.394 6.455
Co F Rb Tb
2 12 2 2
Cartesian
-2.816 -3.698 -2.545
-3.670 -1.061 -0.141
1.504 -4.864 -2.530
-1.186 -4.092 -1.382
2.051 -2.078 2.857
-0.016 -5.404 0.473
-4.062 -4.923 -1.493
2.860 -4.572 0.583
-1.995 -1.598 0.892
-3.515 -2.137 3.894
-2.232 -5.659 -2.987
-4.871 -2.429 0.781
0.221 -1.343 4.351
-0.825 -2.910 2.747
-2.690 -4.650 1.344
0.679 -2.352 0.021
1.810 0.197 3.227
-1.860 -0.864 3.086
```

Summary:
spin magnetization = 6.000 Bohr magnetons per cell
DOS at the Fermi energy = 0.000 states/eV per atom
symmetry = No. 74
V = 16.2 Å³/atom
E = -0.2050 hartree per atom

=====

# Rb2CoTcF6

Crystalline Rb2CoTcF6 at its relaxed geometry (PBE+U, Alexandria).

Cell and atoms, written as POSCAR:
```
Rb2CoTcF6
1.0
-0.986 2.259 -5.491
-2.714 -5.123 -1.621
-5.607 0.140 -2.235
F Co Rb Tc
6 1 2 1
Cartesian
-3.763 -0.631 -2.883
-1.406 0.462 -4.549
-5.543 -2.092 -6.463
-2.293 -3.325 -2.563
-0.901 -0.697 -1.731
-2.799 -2.166 -5.380
-1.850 -1.432 -3.556
-4.221 0.484 -5.641
-5.085 -3.207 -3.706
0.000 0.000 0.000
```

Summary:
spin magnetization = 4.000 Bohr magnetons per cell
DOS at the Fermi energy = 0.711 states/eV per atom
symmetry = No. 139
V = 15.5 Å³/atom
E = -0.1816 hartree per atom

=====

# Rb2CoTeF6

Crystalline Rb2CoTeF6 at its relaxed geometry (PBE+U, Alexandria).

Cell and atoms, written as POSCAR:
```
Rb2CoTeF6
1.0
-6.107 -0.772 -2.433
2.550 -2.139 -5.721
-1.856 -5.510 -2.595
Te F Rb Co
1 6 2 1
Cartesian
0.000 0.000 0.000
-2.533 -2.074 -5.806
-1.818 -3.532 -3.318
-3.615 -1.166 -3.379
-1.024 -0.838 -2.347
-3.594 -4.890 -7.431
0.058 -1.746 -4.774
-0.542 -4.553 -6.196
-4.870 -3.869 -4.553
-1.778 -1.456 -4.077
```

Summary:
spin magnetization = 1.000 Bohr magnetons per cell
DOS at the Fermi energy = 0.000 states/eV per atom
symmetry = No. 139
V = 18.9 Å³/atom
E = -0.1554 hartree per atom

=====

# RbTi2CoF

Crystalline RbTi2CoF at its relaxed geometry (PBE+U, Alexandria).

Cell and atoms, written as POSCAR:
```
RbTi2CoF
1.0
4.295 0.000 0.000
0.000 7.615 0.000
0.000 0.000 4.295
Ti F Rb Co
2 1 1 1
Cartesian
2.147 0.000 0.000
0.000 0.000 2.147
2.147 3.808 2.147
0.000 3.808 0.000
0.000 0.000 0.000
```

Summary:
spin magnetization = 0.000 Bohr magnetons per cell
DOS at the Fermi energy = 0.868 states/eV per atom
symmetry = No. 123
V = 28.1 Å³/atom
E = -0.1682 hartree per atom

=====

# Rb3TlCo2F9

Crystalline Rb3TlCo2F9 at its relaxed geometry (PBE+U, Alexandria).

Cell and atoms, written as POSCAR:
```
Rb3TlCo2F9
1.0
-0.258 5.680 -2.302
-3.853 -1.676 4.469
5.052 2.352 5.237
Rb Co F Tl
3 2 9 1
Cartesian
0.765 2.368 5.756
0.177 3.988 1.648
0.000 0.000 0.000
2.839 5.227 4.407
-1.898 1.128 2.997
-2.055 2.002 1.084
-1.926 -0.838 2.235
-1.656 0.365 4.866
0.815 5.216 4.605
2.597 5.991 2.538
-0.129 2.840 -1.151
2.716 3.363 3.603
0.126 1.140 2.799
-1.775 2.992 3.801
2.526 1.176 2.618
```

Summary:
spin magnetization = 5.180 Bohr magnetons per cell
DOS at the Fermi energy = 0.180 states/eV per atom
symmetry = No. 164
V = 16.6 Å³/atom
E = -0.1646 hartree per atom

=====

# Rb2TlCoF6

Crystalline Rb2TlCoF6 at its relaxed geometry (PBE+U, Alexandria).

Cell and atoms, written as POSCAR:
```
Rb2TlCoF6
1.0
-1.258 -3.571 -4.998
4.879 -3.681 1.402
-0.857 -6.204 0.715
Tl F Co Rb
1 6 1 2
Cartesian
0.000 0.000 0.000
2.205 -8.620 -2.262
0.415 -3.601 -3.254
0.558 -4.836 -0.618
2.634 -5.276 -2.616
0.987 -1.976 -0.980
3.206 -3.651 -0.342
1.810 -3.626 -1.798
-0.152 -6.700 -3.040
2.916 -6.755 0.160
```

Summary:
spin magnetization = 2.261 Bohr magnetons per cell
DOS at the Fermi energy = 0.334 states/eV per atom
symmetry = No. 139
V = 17.6 Å³/atom
E = -0.1595 hartree per atom

=====

# Rb3Tl3CoF8

Crystalline Rb3Tl3CoF8 at its relaxed geometry (PBE+U, Alexandria).

Cell and atoms, written as POSCAR:
```
Rb3Tl3CoF8
1.0
-7.819 0.482 -0.404
3.491 -7.024 0.225
-0.047 4.564 6.367
F Rb Tl Co
8 3 3 1
Cartesian
-0.221 -2.250 1.601
-6.359 3.545 4.076
-4.155 0.273 4.588
-2.851 -5.224 1.863
-0.193 0.559 4.414
-1.525 3.247 4.326
-4.183 -2.536 1.775
1.984 -5.522 2.112
-2.188 -0.989 3.094
-3.933 2.523 2.982
1.722 -1.230 3.296
-2.164 -3.271 -0.089
1.745 -3.512 0.112
0.000 0.000 0.000
-0.024 2.282 3.184
```

Summary:
spin magnetization = 3.000 Bohr magnetons per cell
DOS at the Fermi energy = 0.000 states/eV per atom
symmetry = No. 166
V = 22.7 Å³/atom
E = -0.1541 hartree per atom

=====

# RbTl2Co3F12

Crystalline RbTl2Co3F12 at its relaxed geometry (PBE+U, Alexandria).

Cell and atoms, written as POSCAR:
```
RbTl2Co3F12
1.0
-2.648 -3.280 5.904
2.774 -6.456 1.801
4.251 -0.325 5.869
F Co Tl Rb
12 3 2 1
Cartesian
2.670 -6.106 11.037
-0.490 -2.668 4.199
-0.454 -4.772 7.357
4.831 -5.289 6.217
1.464 -3.316 8.765
2.305 -1.471 4.185
0.547 -7.123 6.238
1.707 -3.955 2.536
2.913 -6.744 4.809
3.829 -2.937 7.335
2.072 -8.590 9.389
4.867 -7.393 9.375
1.387 -3.228 0.900
-1.324 -1.640 2.952
2.125 -0.162 2.935
1.665 -3.828 5.164
2.712 -6.233 8.410
0.000 0.000 0.000
```

Summary:
spin magnetization = 5.999 Bohr magnetons per cell
DOS at the Fermi energy = 0.068 states/eV per atom
symmetry = No. 166
V = 15.8 Å³/atom
E = -0.1613 hartree per atom

=====

# Rb2Tl2CoF6

Crystalline Rb2Tl2CoF6 at its relaxed geometry (PBE+U, Alexandria).

Cell and atoms, written as POSCAR:
```
Rb2Tl2CoF6
1.0
-3.195 -5.665 -1.468
6.383 0.553 -1.846
1.042 -1.228 6.201
F Rb Tl Co
6 2 2 1
Cartesian
4.210 -3.812 -0.776
2.501 -0.916 3.565
0.020 -2.527 3.663
3.382 -5.096 1.867
0.848 -1.244 1.019
1.728 -5.423 -0.678
3.614 -2.196 1.384
0.615 -4.143 1.502
-1.645 -4.659 -1.529
4.833 -0.453 -1.785
0.521 -0.614 3.100
```

Summary:
spin magnetization = 3.000 Bohr magnetons per cell
DOS at the Fermi energy = 0.000 states/eV per atom
symmetry = No. 12
V = 22.2 Å³/atom
E = -0.1570 hartree per atom

=====

# RbTlCo2F8

Crystalline RbTlCo2F8 at its relaxed geometry (PBE+U, Alexandria).

Cell and atoms, written as POSCAR:
```
RbTlCo2F8
1.0
6.048 -0.126 0.475
-0.062 4.735 0.488
0.544 0.717 6.522
F Co Tl Rb
8 2 1 1
Cartesian
2.820 1.548 4.153
3.988 4.136 6.600
3.711 3.777 3.332
2.543 1.189 0.885
5.104 2.258 5.242
4.833 1.898 1.969
1.697 3.427 5.516
1.426 3.068 2.243
3.130 2.487 2.105
3.400 2.838 5.379
0.000 0.000 0.000
0.272 0.358 3.261
```

Summary:
spin magnetization = 4.011 Bohr magnetons per cell
symmetry = No. 2
V = 15.3 Å³/atom
E = -0.1602 hartree per atom

=====

# RbTlCoF4

Crystalline RbTlCoF4 at its relaxed geometry (PBE+U, Alexandria).

Cell and atoms, written as POSCAR:
```
RbTlCoF4
1.0
-3.765 -4.123 2.735
4.754 -4.333 0.012
4.257 4.684 5.242
Rb F Co Tl
2 8 2 2
Cartesian
0.281 -2.075 1.199
4.964 -1.697 6.790
2.515 -4.397 2.287
-0.163 -0.290 6.673
4.194 -2.549 4.155
3.160 -1.433 1.310
1.051 -1.223 3.834
2.086 -2.339 6.679
5.408 -3.483 1.316
2.731 0.624 5.702
1.435 -0.798 5.691
3.811 -2.974 2.298
2.547 -4.353 5.149
2.699 0.581 2.840
```

Summary:
spin magnetization = 6.000 Bohr magnetons per cell
DOS at the Fermi energy = 0.000 states/eV per atom
symmetry = No. 11
V = 21.4 Å³/atom
E = -0.1636 hartree per atom

=====

# Rb2TmCo3F12

Crystalline Rb2TmCo3F12 at its relaxed geometry (PBE+U, Alexandria).

Cell and atoms, written as POSCAR:
```
Rb2TmCo3F12
1.0
7.597 0.106 0.075
3.843 6.554 0.075
3.843 2.237 6.160
F Co Rb Tm
12 3 2 1
Cartesian
11.827 6.884 2.244
3.457 2.012 4.066
11.827 4.393 5.755
8.150 4.744 0.580
7.134 4.152 5.730
8.150 2.116 4.286
3.457 4.503 0.555
9.419 2.854 2.025
5.623 0.782 0.555
7.134 6.781 2.025
5.864 6.042 4.286
9.661 8.114 5.755
1.922 3.277 0.037
3.798 0.053 0.037
1.922 1.119 3.080
9.343 5.438 3.857
5.940 3.458 2.453
0.000 0.000 0.000
```

Summary:
spin magnetization = 10.001 Bohr magnetons per cell
DOS at the Fermi energy = 0.438 states/eV per atom
symmetry = No. 166
V = 16.8 Å³/atom
E = -0.1896 hartree per atom

=====

# RbVCo2F8

Crystalline RbVCo2F8 at its relaxed geometry (PBE+U, Alexandria).

Cell and atoms, written as POSCAR:
```
RbVCo2F8
1.0
5.341 0.000 0.000
2.670 4.625 0.000
2.670 1.542 7.826
F Co Rb V
8 2 1 1
Cartesian
2.670 1.542 3.604
8.011 4.625 4.222
4.539 1.407 1.132
6.391 1.551 6.694
6.143 4.760 6.694
7.193 3.227 1.132
3.488 2.940 6.694
4.290 4.616 1.132
8.011 4.625 6.080
2.670 1.542 1.745
5.341 3.083 3.913
0.000 0.000 0.000
```

Summary:
spin magnetization = 7.936 Bohr magnetons per cell
DOS at the Fermi energy = 0.000 states/eV per atom
symmetry = No. 148
V = 16.1 Å³/atom
E = -0.1918 hartree per atom

=====

# Rb2VCoF6

Crystalline Rb2VCoF6 at its relaxed geometry (PBE+U, Alexandria).

Cell and atoms, written as POSCAR:
```
Rb2VCoF6
1.0
-2.251 -5.217 -1.898
-0.801 -1.721 5.682
-5.374 -1.796 1.856
F Rb Co V
6 2 1 1
Cartesian
-3.413 -2.649 1.874
-5.014 -6.086 3.766
-1.881 -4.325 0.037
-2.273 -5.168 2.818
-1.171 -2.614 3.747
-0.779 -1.771 0.966
-4.576 -5.241 0.925
-3.851 -3.493 4.715
0.000 0.000 0.000
-1.526 -3.469 1.892
```

Summary:
spin magnetization = 3.148 Bohr magnetons per cell
DOS at the Fermi energy = 7.756 states/eV per atom
symmetry = No. 139
V = 15.1 Å³/atom
E = -0.1827 hartree per atom

=====

# Rb2VCo3F12

Crystalline Rb2VCo3F12 at its relaxed geometry (PBE+U, Alexandria).

Cell and atoms, written as POSCAR:
```
Rb2VCo3F12
1.0
-4.400 3.804 -4.695
-3.975 -3.495 -5.278
-7.448 -0.468 0.429
F Co Rb V
12 3 2 1
Cartesian
-5.688 -0.300 -0.386
-10.135 0.142 -9.158
-8.036 -2.395 -3.620
-7.531 -2.153 -6.275
-9.620 -0.333 -2.842
-3.802 2.343 -3.556
-7.787 2.237 -5.924
-12.284 2.015 -5.627
-8.292 1.995 -3.269
-6.203 0.175 -6.701
-3.539 -2.173 -3.917
-12.021 -2.501 -5.987
-3.724 -0.234 0.215
-1.988 -1.747 -2.639
-2.200 1.902 -2.347
-6.100 -0.061 -3.679
-9.723 -0.097 -5.864
0.000 0.000 0.000
```

Summary:
spin magnetization = 11.510 Bohr magnetons per cell
DOS at the Fermi energy = 0.920 states/eV per atom
symmetry = No. 166
V = 15.9 Å³/atom
E = -0.1861 hartree per atom

=====

# RbVCoF6

Crystalline RbVCoF6 at its relaxed geometry (PBE+U, Alexandria).

Cell and atoms, written as POSCAR:
```
RbVCoF6
1.0
5.485 0.006 0.013
2.750 4.699 0.002
0.034 -0.006 6.075
Rb F V Co
1 6 1 1
Cartesian
2.780 4.681 6.075
4.505 1.818 4.154
4.870 4.635 4.157
3.838 2.965 1.956
7.157 2.925 4.161
6.523 1.852 1.921
6.144 4.644 1.939
5.508 3.112 3.047
2.767 1.562 3.042
```

Summary:
spin magnetization = 4.998 Bohr magnetons per cell
DOS at the Fermi energy = 0.000 states/eV per atom
symmetry = No. 1
V = 17.4 Å³/atom
E = -0.1986 hartree per atom